Below is crystalline AcCo2MoO6 at its relaxed geometry, with properties calculated at the GGA+U level.

Values from the calculation:
**Space-group type**: P1 (1)
**Crystal system**: triclinic
**Spin magnetization**: 0.50 μB per atom
**Electronic total energy**: -6.854 eV per atom

Unit cell a=5.390 b=5.442 c=5.757 alpha=62.34 beta=61.40 gamma=59.12
Each line ends with the local moment (μB).
Element x y z (fractional)
Ac  0.776  0.789  0.648  0.01
Co  0.533  0.531  0.411  2.66
Co  0.005  0.007  0.982  0.18
Mo  0.308  0.316  0.041  1.88
O  0.639  0.248  0.220  0.06
O  0.260  0.905  0.204  0.02
O  0.915  0.633  0.223  0.04
O  0.311  0.736  0.754  0.03
O  0.731  0.189  0.771  -0.01
O  0.183  0.307  0.762  0.01